1.
Ge5B2Rh12 | Alexandria via LeMat-Bulk | PBE | optimized geometry; DOS(E_F) = 0.894 states/eV/atom; total magnetic moment = 0.00 μB/f.u.; E_tot = -6.8598 eV/atom; volume = 288.4 Å³/f.u.
1.0
-1.725 1.361 -5.456
-0.094 -7.336 1.371
-6.408 2.959 2.763
Ge B Rh
5 2 12
Direct
0.296 0.593 0.645 Ge
0.314 0.629 0.164 Ge
0.000 0.000 0.500 Ge
0.686 0.371 0.836 Ge
0.704 0.407 0.355 Ge
0.736 0.000 0.000 B
0.264 0.000 0.000 B
0.013 0.027 0.194 Rh
0.090 0.674 0.920 Rh
0.584 0.674 0.920 Rh
0.106 0.705 0.437 Rh
0.599 0.705 0.437 Rh
0.496 0.992 0.784 Rh
0.504 0.008 0.216 Rh
0.894 0.295 0.563 Rh
0.401 0.295 0.563 Rh
0.910 0.326 0.080 Rh
0.416 0.326 0.080 Rh
0.987 0.973 0.806 Rh

=====

2.
Ge2B2Rh5 | Alexandria via LeMat-Bulk | PBE | optimized geometry; DOS(E_F) = 0.692 states/eV/atom; total magnetic moment = 0.00 μB/f.u.; E_tot = -6.9097 eV/atom; volume = 119.0 Å³/f.u.
1.0
5.442 0.000 0.000
0.000 6.451 -3.316
0.000 -0.469 7.021
Ge B Rh
4 4 10
Direct
0.000 0.205 0.409 Ge
0.500 0.705 0.409 Ge
0.000 0.795 0.591 Ge
0.500 0.295 0.591 Ge
0.663 0.811 0.000 B
0.337 0.189 0.000 B
0.163 0.689 0.000 B
0.837 0.311 0.000 B
0.000 0.000 0.000 Rh
0.500 0.500 0.000 Rh
0.897 0.813 0.252 Rh
0.103 0.439 0.252 Rh
0.397 0.939 0.252 Rh
0.603 0.313 0.252 Rh
0.103 0.187 0.748 Rh
0.897 0.561 0.748 Rh
0.603 0.061 0.748 Rh
0.397 0.687 0.748 Rh

=====

> DOS(E_F) of number 2 (Ge2B2Rh5)?

0.692 states/eV/atom